Version 1
Entry from the Alexandria database: an optimized crystal structure of Mn2VPd (PBE).

```
data_Mn2VPd
_chemical_formula_sum 'Mn8 V4 Pd4'
_symmetry_space_group_name_H-M 'F m -3 m'
_symmetry_Int_Tables_number 225
_symmetry_space_group_name_Hall '-F 4 2 3'
_cell_length_a 6.075
_cell_length_b 6.075
_cell_length_c 6.075
_cell_angle_alpha 90.00
_cell_angle_beta 90.00
_cell_angle_gamma 90.00
loop_
_atom_site_label
_atom_site_type_symbol
_atom_site_fract_x
_atom_site_fract_y
_atom_site_fract_z
Mn1 Mn 0.250 0.250 0.250
V1 V 0.000 0.000 0.000
Pd1 Pd 0.000 0.000 0.500
```


Version 2
Entry from the Alexandria database: an optimized crystal structure of Mn2VPd (PBE).

```
data_Mn2VPd
_chemical_formula_sum 'Mn2 V1 Pd1'
_symmetry_space_group_name_H-M 'P 4/m m m'
_symmetry_Int_Tables_number 123
_symmetry_space_group_name_Hall '-P 4 2'
_cell_length_a 4.119
_cell_length_b 4.119
_cell_length_c 3.303
_cell_angle_alpha 90.00
_cell_angle_beta 90.00
_cell_angle_gamma 90.00
loop_
_atom_site_label
_atom_site_type_symbol
_atom_site_fract_x
_atom_site_fract_y
_atom_site_fract_z
Mn1 Mn 0.000 0.500 0.000
V1 V 0.000 0.000 0.500
Pd1 Pd 0.500 0.500 0.500
```


Version 3
Entry from the Alexandria database: an optimized crystal structure of Mn2VPd (PBE).

```
data_Mn2VPd
_chemical_formula_sum 'Mn8 V4 Pd4'
_symmetry_space_group_name_H-M 'I -4 2 d'
_symmetry_Int_Tables_number 122
_symmetry_space_group_name_Hall 'I -4 2bw'
_cell_length_a 3.600
_cell_length_b 3.600
_cell_length_c 17.241
_cell_angle_alpha 90.00
_cell_angle_beta 90.00
_cell_angle_gamma 90.00
loop_
_atom_site_label
_atom_site_type_symbol
_atom_site_fract_x
_atom_site_fract_y
_atom_site_fract_z
Mn1 Mn 0.176 0.250 0.125
V1 V 0.000 0.000 0.000
Pd1 Pd 0.000 0.000 0.500
```


Version 4
Entry from the Alexandria database: an optimized crystal structure of Mn2VPd (PBE).

```
data_Mn2VPd
_chemical_formula_sum 'Mn2 V1 Pd1'
_symmetry_space_group_name_H-M 'P 4/m m m'
_symmetry_Int_Tables_number 123
_symmetry_space_group_name_Hall '-P 4 2'
_cell_length_a 3.060
_cell_length_b 3.060
_cell_length_c 5.931
_cell_angle_alpha 90.00
_cell_angle_beta 90.00
_cell_angle_gamma 90.00
loop_
_atom_site_label
_atom_site_type_symbol
_atom_site_fract_x
_atom_site_fract_y
_atom_site_fract_z
Mn1 Mn 0.000 0.000 0.232
V1 V 0.500 0.500 0.000
Pd1 Pd 0.500 0.500 0.500
```


Most stable of them? version 2.


Version 1
Entry from the Alexandria database: an optimized crystal structure of MnVPd4 (PBE).

```
data_MnVPd4
_chemical_formula_sum 'Mn1 V1 Pd4'
_symmetry_space_group_name_H-M 'P m m m'
_symmetry_Int_Tables_number 47
_cell_length_a 2.814
_cell_length_b 3.756
_cell_length_c 8.418
_cell_angle_alpha 90.00
_cell_angle_beta 90.00
_cell_angle_gamma 90.00
loop_
_symmetry_equiv_pos_as_xyz
'x,y,z'
'-x,-y,-z'
'-x,-y,z'
'x,y,-z'
'x,-y,-z'
'-x,y,z'
'-x,y,-z'
'x,-y,z'
loop_
_atom_site_label
_atom_site_type_symbol
_atom_site_fract_x
_atom_site_fract_y
_atom_site_fract_z
Mn1 Mn 0.000 0.000 0.000
V1 V 0.500 0.500 0.500
Pd1 Pd 0.000 0.000 0.340
Pd2 Pd 0.500 0.500 0.165
```


Version 2
Entry from the Alexandria database: an optimized crystal structure of MnVPd4 (PBE).

```
data_MnVPd4
_chemical_formula_sum 'Mn4 V4 Pd16'
_symmetry_space_group_name_H-M 'C m c m'
_symmetry_Int_Tables_number 63
_symmetry_space_group_name_Hall '-C 2c 2'
_cell_length_a 8.029
_cell_length_b 10.458
_cell_length_c 4.347
_cell_angle_alpha 90.00
_cell_angle_beta 90.00
_cell_angle_gamma 90.00
loop_
_atom_site_label
_atom_site_type_symbol
_atom_site_fract_x
_atom_site_fract_y
_atom_site_fract_z
Mn1 Mn 0.000 0.175 0.250
V1 V 0.000 0.456 0.250
Pd1 Pd 0.168 0.325 0.750
Pd2 Pd 0.176 0.070 0.750
```


Most stable of them? version 1.


Version 1
Entry from the Alexandria database: an optimized crystal structure of Mn3PdW (PBE).

```
data_Mn3PdW
_chemical_formula_sum 'Mn3 Pd1 W1'
_symmetry_space_group_name_H-M 'P m -3 m'
_symmetry_Int_Tables_number 221
_symmetry_space_group_name_Hall '-P 4 2 3'
_cell_length_a 4.694
_cell_length_b 4.694
_cell_length_c 4.694
_cell_angle_alpha 90.00
_cell_angle_beta 90.00
_cell_angle_gamma 90.00
loop_
_atom_site_label
_atom_site_type_symbol
_atom_site_fract_x
_atom_site_fract_y
_atom_site_fract_z
Mn1 Mn 0.000 0.000 0.500
Pd1 Pd 0.000 0.000 0.000
W1 W 0.500 0.500 0.500
```


Version 2
Entry from the Alexandria database: an optimized crystal structure of Mn3PdW (PBE).

```
data_Mn3PdW
_chemical_formula_sum 'Mn3 Pd1 W1'
_symmetry_space_group_name_H-M 'P m -3 m'
_symmetry_Int_Tables_number 221
_symmetry_space_group_name_Hall '-P 4 2 3'
_cell_length_a 4.575
_cell_length_b 4.575
_cell_length_c 4.575
_cell_angle_alpha 90.00
_cell_angle_beta 90.00
_cell_angle_gamma 90.00
loop_
_atom_site_label
_atom_site_type_symbol
_atom_site_fract_x
_atom_site_fract_y
_atom_site_fract_z
Mn1 Mn 0.000 0.000 0.500
Pd1 Pd 0.500 0.500 0.500
W1 W 0.000 0.000 0.000
```


Most stable of them? version 2.


Version 1
Entry from the Alexandria database: an optimized crystal structure of YMnPd6 (PBE).

```
data_YMnPd6
_chemical_formula_sum 'Y3 Mn3 Pd18'
_symmetry_space_group_name_H-M 'R -3 m'
_symmetry_Int_Tables_number 166
_symmetry_space_group_name_Hall '-R 3 2"'
_cell_length_a 7.4540
_cell_length_b 7.4540
_cell_length_c 9.6574
_cell_angle_alpha 90.00
_cell_angle_beta 90.00
_cell_angle_gamma 120.00
loop_
_atom_site_label
_atom_site_type_symbol
_atom_site_fract_x
_atom_site_fract_y
_atom_site_fract_z
Y1 Y 0.0000 0.0000 0.0000
Mn1 Mn 0.0000 0.0000 0.5000
Pd1 Pd 0.0882 0.5441 0.3735
```


Version 2
Entry from the Alexandria database: an optimized crystal structure of YMnPd6 (PBE).

```
data_YMnPd6
_chemical_formula_sum 'Y1 Mn1 Pd6'
_symmetry_space_group_name_H-M 'P 4/m m m'
_symmetry_Int_Tables_number 123
_symmetry_space_group_name_Hall '-P 4 2'
_cell_length_a 4.048
_cell_length_b 4.048
_cell_length_c 8.010
_cell_angle_alpha 90.00
_cell_angle_beta 90.00
_cell_angle_gamma 90.00
loop_
_atom_site_label
_atom_site_type_symbol
_atom_site_fract_x
_atom_site_fract_y
_atom_site_fract_z
Y1 Y 0.000 0.000 0.000
Mn1 Mn 0.000 0.000 0.500
Pd1 Pd 0.000 0.500 0.265
Pd2 Pd 0.500 0.500 0.000
Pd3 Pd 0.500 0.500 0.500
```


Most stable of them? version 2.


Version 1
Entry from the Alexandria database: an optimized crystal structure of YMn2Pd2 (PBE).

```
data_YMn2Pd2
_chemical_formula_sum 'Y2 Mn4 Pd4'
_symmetry_space_group_name_H-M 'I 4/m m m'
_symmetry_Int_Tables_number 139
_symmetry_space_group_name_Hall '-I 4 2'
_cell_length_a 3.450
_cell_length_b 3.450
_cell_length_c 13.893
_cell_angle_alpha 90.00
_cell_angle_beta 90.00
_cell_angle_gamma 90.00
loop_
_atom_site_label
_atom_site_type_symbol
_atom_site_fract_x
_atom_site_fract_y
_atom_site_fract_z
Y1 Y 0.000 0.000 0.000
Mn1 Mn 0.000 0.500 0.250
Pd1 Pd 0.000 0.000 0.394
```


Version 2
Entry from the Alexandria database: an optimized crystal structure of YMn2Pd2 (PBE).

```
data_YMn2Pd2
_chemical_formula_sum 'Y2 Mn4 Pd4'
_symmetry_space_group_name_H-M 'P 4/m b m'
_symmetry_Int_Tables_number 127
_symmetry_space_group_name_Hall '-P 4 2ab'
_cell_length_a 7.539
_cell_length_b 7.539
_cell_length_c 2.829
_cell_angle_alpha 90.00
_cell_angle_beta 90.00
_cell_angle_gamma 90.00
loop_
_atom_site_label
_atom_site_type_symbol
_atom_site_fract_x
_atom_site_fract_y
_atom_site_fract_z
Y1 Y 0.000 0.000 0.000
Mn1 Mn 0.091 0.409 0.000
Pd1 Pd 0.196 0.696 0.500
```


Most stable of them? version 1.


Version 1
Entry from the Alexandria database: an optimized crystal structure of YMn3Pd (PBE).

```
data_YMn3Pd
_chemical_formula_sum 'Y1 Mn3 Pd1'
_symmetry_space_group_name_H-M 'P m -3 m'
_symmetry_Int_Tables_number 221
_symmetry_space_group_name_Hall '-P 4 2 3'
_cell_length_a 4.829
_cell_length_b 4.829
_cell_length_c 4.829
_cell_angle_alpha 90.00
_cell_angle_beta 90.00
_cell_angle_gamma 90.00
loop_
_atom_site_label
_atom_site_type_symbol
_atom_site_fract_x
_atom_site_fract_y
_atom_site_fract_z
Y1 Y 0.000 0.000 0.000
Mn1 Mn 0.000 0.500 0.500
Pd1 Pd 0.500 0.500 0.500
```


Version 2
Entry from the Alexandria database: an optimized crystal structure of YMn3Pd (PBE).

```
data_YMn3Pd
_chemical_formula_sum 'Y1 Mn3 Pd1'
_symmetry_space_group_name_H-M 'P m -3 m'
_symmetry_Int_Tables_number 221
_symmetry_space_group_name_Hall '-P 4 2 3'
_cell_length_a 4.764
_cell_length_b 4.764
_cell_length_c 4.764
_cell_angle_alpha 90.00
_cell_angle_beta 90.00
_cell_angle_gamma 90.00
loop_
_atom_site_label
_atom_site_type_symbol
_atom_site_fract_x
_atom_site_fract_y
_atom_site_fract_z
Y1 Y 0.000 0.000 0.000
Mn1 Mn 0.000 0.000 0.500
Pd1 Pd 0.500 0.500 0.500
```


Most stable of them? version 1.


Version 1
Entry from the Alexandria database: an optimized crystal structure of MnZn2Pd8 (PBE).

```
data_MnZn2Pd8
_chemical_formula_sum 'Mn2 Zn4 Pd16'
_symmetry_space_group_name_H-M 'C 1 2/m 1'
_symmetry_Int_Tables_number 12
_cell_length_a 13.835
_cell_length_b 4.016
_cell_length_c 6.236
_cell_angle_alpha 90.00
_cell_angle_beta 107.44
_cell_angle_gamma 90.00
loop_
_symmetry_equiv_pos_as_xyz
'x,y,z'
'-x,-y,-z'
'-x,y,-z'
'x,-y,z'
'x+1/2,y+1/2,z'
'-x+1/2,-y+1/2,-z'
'-x+1/2,y+1/2,-z'
'x+1/2,-y+1/2,z'
loop_
_atom_site_label
_atom_site_type_symbol
_atom_site_fract_x
_atom_site_fract_y
_atom_site_fract_z
Mn1 Mn 0.000 0.000 0.000
Zn1 Zn 0.224 0.500 0.648
Pd1 Pd 0.044 0.500 0.730
Pd2 Pd 0.098 0.000 0.460
Pd3 Pd 0.143 0.500 0.197
Pd4 Pd 0.179 0.000 0.919
```


Version 2
Entry from the Alexandria database: an optimized crystal structure of MnZn2Pd8 (PBE).

```
data_MnZn2Pd8
_chemical_formula_sum 'Mn2 Zn4 Pd16'
_symmetry_space_group_name_H-M 'I m m m'
_symmetry_Int_Tables_number 71
_symmetry_space_group_name_Hall '-I 2 2'
_cell_length_a 4.106
_cell_length_b 6.917
_cell_length_c 11.937
_cell_angle_alpha 90.00
_cell_angle_beta 90.00
_cell_angle_gamma 90.00
loop_
_atom_site_label
_atom_site_type_symbol
_atom_site_fract_x
_atom_site_fract_y
_atom_site_fract_z
Mn1 Mn 0.000 0.000 0.000
Zn1 Zn 0.000 0.000 0.306
Pd1 Pd 0.000 0.197 0.500
Pd2 Pd 0.000 0.279 0.158
Pd3 Pd 0.000 0.500 0.352
```


Most stable of them? version 1.


Version 1
Entry from the Alexandria database: an optimized crystal structure of MnZnPd4 (PBE).

```
data_MnZnPd4
_chemical_formula_sum 'Mn2 Zn2 Pd8'
_symmetry_space_group_name_H-M 'C 1 2/m 1'
_symmetry_Int_Tables_number 12
_cell_length_a 10.864
_cell_length_b 2.939
_cell_length_c 5.831
_cell_angle_alpha 90.00
_cell_angle_beta 105.45
_cell_angle_gamma 90.00
loop_
_symmetry_equiv_pos_as_xyz
'x,y,z'
'-x,-y,-z'
'-x,y,-z'
'x,-y,z'
'x+1/2,y+1/2,z'
'-x+1/2,-y+1/2,-z'
'-x+1/2,y+1/2,-z'
'x+1/2,-y+1/2,z'
loop_
_atom_site_label
_atom_site_type_symbol
_atom_site_fract_x
_atom_site_fract_y
_atom_site_fract_z
Mn1 Mn 0.000 0.000 0.000
Zn1 Zn 0.000 0.000 0.500
Pd1 Pd 0.156 0.500 0.330
Pd2 Pd 0.158 0.500 0.827
```


Version 2
Entry from the Alexandria database: an optimized crystal structure of MnZnPd4 (PBE).

```
data_MnZnPd4
_chemical_formula_sum 'Mn4 Zn4 Pd16'
_symmetry_space_group_name_H-M 'C 1 2/c 1'
_symmetry_Int_Tables_number 15
_cell_length_a 8.338
_cell_length_b 8.335
_cell_length_c 7.195
_cell_angle_alpha 90.00
_cell_angle_beta 125.15
_cell_angle_gamma 90.00
loop_
_symmetry_equiv_pos_as_xyz
'x,y,z'
'-x,-y,-z'
'-x,y,-z+1/2'
'x,-y,z+1/2'
'x+1/2,y+1/2,z'
'-x+1/2,-y+1/2,-z'
'-x+1/2,y+1/2,-z+1/2'
'x+1/2,-y+1/2,z+1/2'
loop_
_atom_site_label
_atom_site_type_symbol
_atom_site_fract_x
_atom_site_fract_y
_atom_site_fract_z
Mn1 Mn 0.000 0.125 0.250
Zn1 Zn 0.000 0.375 0.750
Pd1 Pd 0.125 0.376 0.500
Pd2 Pd 0.126 0.126 0.000
```


Most stable of them? version 1.


Version 1
Entry from the Alexandria database: an optimized crystal structure of MnZnPd3 (PBE).

```
data_MnZnPd3
_chemical_formula_sum 'Mn2 Zn2 Pd6'
_symmetry_space_group_name_H-M 'P 1 21/m 1'
_symmetry_Int_Tables_number 11
_cell_length_a 4.173
_cell_length_b 4.167
_cell_length_c 8.787
_cell_angle_alpha 90.00
_cell_angle_beta 103.66
_cell_angle_gamma 90.00
loop_
_symmetry_equiv_pos_as_xyz
'x,y,z'
'-x,-y,-z'
'-x,y+1/2,-z'
'x,-y+1/2,z'
loop_
_atom_site_label
_atom_site_type_symbol
_atom_site_fract_x
_atom_site_fract_y
_atom_site_fract_z
Mn1 Mn 0.151 0.250 0.301
Zn1 Zn 0.349 0.250 0.698
Pd1 Pd 0.058 0.750 0.114
Pd2 Pd 0.251 0.750 0.501
Pd3 Pd 0.443 0.750 0.887
```


Version 2
Entry from the Alexandria database: an optimized crystal structure of MnZnPd3 (PBE).

```
data_MnZnPd3
_chemical_formula_sum 'Mn8 Zn8 Pd24'
_symmetry_space_group_name_H-M 'C 1 2/c 1'
_symmetry_Int_Tables_number 15
_cell_length_a 10.049
_cell_length_b 9.310
_cell_length_c 7.055
_cell_angle_alpha 90.00
_cell_angle_beta 116.43
_cell_angle_gamma 90.00
loop_
_symmetry_equiv_pos_as_xyz
'x,y,z'
'-x,-y,-z'
'-x,y,-z+1/2'
'x,-y,z+1/2'
'x+1/2,y+1/2,z'
'-x+1/2,-y+1/2,-z'
'-x+1/2,y+1/2,-z+1/2'
'x+1/2,-y+1/2,z+1/2'
loop_
_atom_site_label
_atom_site_type_symbol
_atom_site_fract_x
_atom_site_fract_y
_atom_site_fract_z
Mn1 Mn 0.080 0.180 0.202
Zn1 Zn 0.000 0.143 0.750
Zn2 Zn 0.000 0.462 0.250
Pd1 Pd 0.138 0.340 0.609
Pd2 Pd 0.162 0.047 0.564
Pd3 Pd 0.173 0.359 0.032
```


Version 3
Entry from the Alexandria database: an optimized crystal structure of MnZnPd3 (PBE).

```
data_MnZnPd3
_chemical_formula_sum 'Mn1 Zn1 Pd3'
_symmetry_space_group_name_H-M 'P m -3 m'
_symmetry_Int_Tables_number 221
_symmetry_space_group_name_Hall '-P 4 2 3'
_cell_length_a 4.559
_cell_length_b 4.559
_cell_length_c 4.559
_cell_angle_alpha 90.00
_cell_angle_beta 90.00
_cell_angle_gamma 90.00
loop_
_atom_site_label
_atom_site_type_symbol
_atom_site_fract_x
_atom_site_fract_y
_atom_site_fract_z
Mn1 Mn 0.000 0.000 0.000
Zn1 Zn 0.500 0.500 0.500
Pd1 Pd 0.000 0.500 0.500
```


Most stable of them? version 1.


Version 1
Entry from the Alexandria database: an optimized crystal structure of MnZnPd5 (PBE).

```
data_MnZnPd5
_chemical_formula_sum 'Mn1 Zn1 Pd5'
_symmetry_space_group_name_H-M 'P 4/m m m'
_symmetry_Int_Tables_number 123
_symmetry_space_group_name_Hall '-P 4 2'
_cell_length_a 3.980
_cell_length_b 3.980
_cell_length_c 7.062
_cell_angle_alpha 90.00
_cell_angle_beta 90.00
_cell_angle_gamma 90.00
loop_
_atom_site_label
_atom_site_type_symbol
_atom_site_fract_x
_atom_site_fract_y
_atom_site_fract_z
Mn1 Mn 0.000 0.000 0.000
Zn1 Zn 0.500 0.500 0.500
Pd1 Pd 0.000 0.500 0.272
Pd2 Pd 0.500 0.500 0.000
```


Version 2
Entry from the Alexandria database: an optimized crystal structure of MnZnPd5 (PBE).

```
data_MnZnPd5
_chemical_formula_sum 'Mn4 Zn4 Pd20'
_symmetry_space_group_name_H-M 'C 1 2/c 1'
_symmetry_Int_Tables_number 15
_cell_length_a 9.183
_cell_length_b 5.664
_cell_length_c 9.245
_cell_angle_alpha 90.00
_cell_angle_beta 106.91
_cell_angle_gamma 90.00
loop_
_symmetry_equiv_pos_as_xyz
'x,y,z'
'-x,-y,-z'
'-x,y,-z+1/2'
'x,-y,z+1/2'
'x+1/2,y+1/2,z'
'-x+1/2,-y+1/2,-z'
'-x+1/2,y+1/2,-z+1/2'
'x+1/2,-y+1/2,z+1/2'
loop_
_atom_site_label
_atom_site_type_symbol
_atom_site_fract_x
_atom_site_fract_y
_atom_site_fract_z
Mn1 Mn 0.000 0.119 0.250
Zn1 Zn 0.250 0.250 0.000
Pd1 Pd 0.000 0.335 0.750
Pd2 Pd 0.109 0.347 0.494
Pd3 Pd 0.246 0.408 0.262
```


Most stable of them? version 1.